Record 1
First-principles (GGA-PBE) data for a relaxed SrAg2Se crystal, as listed in Alexandria via LeMat-Bulk.

abc: 4.1983 4.1983 23.8201
angles: 90.00 90.00 90.00
Space group I-42d (No. 122)
Unique sites:
Sr1 0.0000 0.0000 0.0000 x4
Ag1 0.2472 0.2500 0.6250 x8
Se1 0.0000 0.0000 0.5000 x4

Calculated values
E_form (uncorrected) in meV per atom: -539

=====

Record 2
First-principles (GGA-PBE) data for a relaxed Ac2TbAg5 crystal, as listed in Alexandria via LeMat-Bulk.

abc: 5.3404 5.3404 14.6963
angles: 90.00 90.00 90.00
Space group I4/mmm (No. 139)
Unique sites:
Ac1 0.0000 0.0000 0.2265 x4
Tb1 0.0000 0.0000 0.5000 x2
Ag1 0.0000 0.0000 0.0000 x2
Ag2 0.0000 0.5000 0.1030 x8

Calculated values
DFT formation energy in eV per atom: -0.18

=====

Record 3
First-principles (GGA-PBE) data for a relaxed SrCa2YS4 crystal, as listed in Alexandria via LeMat-Bulk.

abc: 7.0123 4.0469 7.0578
angles: 90.00 109.32 90.00
Space group P2/m (No. 10)
Unique sites:
Sr1 0.0000 0.0000 0.0000 x1
Ca1 0.5000 0.0000 0.5000 x1
Ca2 0.5000 0.5000 0.0000 x1
Y1 0.0000 0.5000 0.5000 x1
S1 0.2484 0.0000 0.7392 x2
S2 0.2554 0.5000 0.2638 x2

Calculated values
E_form (uncorrected) in meV per atom: -2078

=====

Record 4
First-principles (GGA-PBE) data for a relaxed BaSrEr4O8 crystal, as listed in Alexandria via LeMat-Bulk.

abc: 3.4210 12.0276 10.2789
angles: 90.00 90.00 90.00
Space group Pmc2_1 (No. 26)
Unique sites:
Ba1 0.0000 0.0997 0.0000 x2
Sr1 0.5000 0.3984 0.5076 x2
Er1 0.0000 0.1434 0.3284 x2
Er2 0.0000 0.3624 0.8308 x2
Er3 0.5000 0.1443 0.6747 x2
Er4 0.5000 0.3659 0.1810 x2
O1 0.0000 0.0337 0.7339 x2
O2 0.0000 0.2735 0.6324 x2
O3 0.0000 0.3299 0.3304 x2
O4 0.0000 0.4196 0.0441 x2
O5 0.5000 0.0930 0.4629 x2
O6 0.5000 0.1800 0.1850 x2
O7 0.5000 0.2347 0.8691 x2
O8 0.5000 0.4668 0.7708 x2

Calculated values
E_form (uncorrected) in meV per atom: -3346

=====

DOS at the Fermi energy in states/eV/atom, matching the order above: 0.2649; 0.8518; 0.3305; 0.0000
E in eV per formula unit, matching the order above: -13.025; -28.544; -45.280; -108.370